A plane-wave DFT calculation with GGA-PBE was carried out for a geometry-optimized CaY2Tm3Te6 structure.

Output
DOS at the Fermi energy in states/eV per cell: 5.84
Energy in eV per atom: -5.2292
E_form (uncorrected) in eV/f.u.: -15.56
Total magnetization in μB/f.u.: 0.00

```
CaY2Tm3Te6
1.0
-2.0335 -2.4805 2.9386
6.7128 -5.5672 -0.0542
3.3187 7.4384 5.3554
Ca Y Tm Te
1 2 3 6
Cartesian
-1.0167 -1.2403 1.4693
4.8890 -0.8306 5.9017
3.1090 0.2213 2.3381
2.3397 -4.0239 1.4422
1.6848 1.9157 6.0027
6.3132 -2.5250 2.2372
7.7054 -1.0125 4.4772
3.6632 -2.4847 3.6573
0.2926 0.4032 3.7626
1.7158 -1.4089 -0.0020
6.2823 0.7996 8.2419
4.3348 1.8754 4.5825
```

***

A plane-wave DFT calculation with GGA-PBE was carried out for a geometry-optimized Dy3Tl2C structure.

Output
DOS at the Fermi energy in states/eV per cell: 3.50
ΔH_f (0 K) in meV/atom: -375
Energy in eV per atom: -5.0022
Excess energy over the best structure of this formula in the dataset in meV/atom: 0.0
Total magnetization in μB/f.u.: 0.00

```
Dy3Tl2C
1.0
4.7308 0.0000 1.5059
-0.0001 7.2486 0.0004
-0.0822 -0.0006 8.4420
Dy Tl C
6 4 2
Cartesian
2.2835 1.8115 9.1952
2.3649 5.4365 0.7532
0.4321 7.2480 6.8264
4.2162 3.6242 3.1222
0.4322 3.6238 6.8262
4.2163 -0.0001 3.1220
3.2315 5.4359 6.2148
3.2322 1.8116 6.2149
1.4162 5.4364 3.7335
1.4169 1.8121 3.7336
4.7302 5.4365 1.5062
-0.0818 1.8115 8.4422
```

***

A plane-wave DFT calculation with GGA-PBE was carried out for a geometry-optimized FePt2 structure.

Output
DOS at the Fermi energy in states/eV per cell: 1.90
ΔH_f (0 K) in meV/atom: -238
Energy in eV per atom: -7.0860
Total magnetization in μB/f.u.: 3.67

```
FePt2
1.0
6.0565 -0.0261 0.0000
4.8110 3.6792 0.0000
-5.4338 -1.8266 1.9545
Fe Pt
1 2
Cartesian
5.4338 1.8266 0.0000
1.7102 0.5749 0.0000
9.1574 3.0783 0.0000
```

***

A plane-wave DFT calculation with GGA-PBE was carried out for a geometry-optimized CrPtN2 structure.

Output
DOS at the Fermi energy in states/eV per cell: 2.25
Energy in eV per atom: -7.3252
E_form (uncorrected) in eV/f.u.: 3.01
Excess energy over the best structure of this formula in the dataset in meV/atom: 799.0
Total magnetization in μB/f.u.: 3.19

```
CrPtN2
1.0
1.8375 0.0000 5.8433
-0.9187 1.5913 5.8433
-0.9187 -1.5913 5.8433
Cr Pt N
1 1 2
Cartesian
0.0000 0.0000 0.0000
0.0000 0.0000 8.7649
0.0000 0.0000 15.6417
0.0000 0.0000 1.8882
```

***

A plane-wave DFT calculation with GGA-PBE was carried out for a geometry-optimized TbErSe3 structure.

Output
DOS at the Fermi energy in states/eV per cell: 0.00
Energy in eV per atom: -5.7795
E_form (uncorrected) in eV/f.u.: -9.25
Excess energy over the best structure of this formula in the dataset in meV/atom: 0.0
Total magnetization in μB/f.u.: 0.00

```
TbErSe3
1.0
6.3762 0.0000 3.3166
2.3255 5.9370 3.3167
0.0499 0.0340 7.6914
Tb Er Se
2 2 6
Cartesian
3.0825 2.1031 9.6486
5.6691 3.8679 4.6761
7.3932 5.0442 9.1488
1.3584 0.9268 5.1759
5.8802 2.6595 9.7289
2.1337 4.5051 8.4351
2.9908 0.3435 7.4040
2.8714 3.3115 4.5958
6.6179 1.4658 5.8896
5.7608 5.6275 6.9207
```

***

A plane-wave DFT calculation with GGA-PBE was carried out for a geometry-optimized Tl2InSi2 structure.

Output
DOS at the Fermi energy in states/eV per cell: 4.10
Energy in eV per atom: -3.3557
E_form (uncorrected) in eV/f.u.: 1.54
Excess energy over the best structure of this formula in the dataset in meV/atom: 69.7
Total magnetization in μB/f.u.: 0.00

```
Tl2InSi2
1.0
6.9974 0.0000 0.0000
0.0000 6.9974 0.0000
0.0000 0.0000 5.1404
Tl Si In
4 4 2
Cartesian
1.2634 4.7621 2.5702
4.7621 5.7340 2.5702
5.7340 2.2353 2.5702
2.2353 1.2634 2.5702
2.6716 6.1703 0.0000
6.1703 4.3259 0.0000
4.3259 0.8272 0.0000
0.8272 2.6716 0.0000
0.0000 0.0000 0.0000
3.4987 3.4987 0.0000
```

***

A plane-wave DFT calculation with GGA-PBE was carried out for a geometry-optimized La2MgHg structure.

Output
DOS at the Fermi energy in states/eV per cell: 5.10
ΔH_f (0 K) in meV/atom: -49
Energy in eV per atom: -2.9865
Excess energy over the best structure of this formula in the dataset in meV/atom: 262.1
Total magnetization in μB/f.u.: 1.73

```
La2MgHg
1.0
5.4342 0.0000 0.0000
2.7171 4.7062 0.0000
2.7171 1.5687 4.4370
Hg La Mg
1 2 1
Cartesian
5.4342 3.1375 2.2185
0.0000 0.0000 0.0000
2.7171 1.5687 1.1093
8.1514 4.7062 3.3278
```

***

A plane-wave DFT calculation with GGA-PBE was carried out for a geometry-optimized Rb4U3TlTe8 structure.

Output
DOS at the Fermi energy in states/eV per cell: 13.30
Energy in eV per atom: -4.8993
E_form (uncorrected) in eV/f.u.: -13.15
Total magnetization in μB/f.u.: 7.00

```
Rb4U3TlTe8
1.0
9.3770 0.0000 0.0000
0.0000 9.9892 0.4289
-4.6885 -4.6873 6.6317
Rb U Tl Te
4 3 1 8
Cartesian
4.6885 0.0000 0.0000
2.3443 -2.3437 3.3158
0.0000 0.0000 0.0000
-2.3443 -2.3437 3.3158
4.6885 4.9946 0.2144
2.3443 2.6510 3.5303
-2.3443 2.6510 3.5303
0.0000 4.9946 0.2144
-2.1767 2.5026 6.6218
0.0000 4.6787 3.5429
0.0000 0.5044 3.6706
2.1767 2.5026 6.6218
2.5118 2.7993 0.4388
4.6885 4.7975 3.3900
4.6885 0.6232 3.5177
6.8652 2.7993 0.4388
```

***

A plane-wave DFT calculation with GGA-PBE was carried out for a geometry-optimized LiIn2Pd2 structure.

Output
DOS at the Fermi energy in states/eV per cell: 3.37
ΔH_f (0 K) in meV/atom: -507
Energy in eV per atom: -4.0620
Excess energy over the best structure of this formula in the dataset in meV/atom: 0.0
Total magnetization in μB/f.u.: 0.00

```
LiIn2Pd2
1.0
-0.2338 -6.9733 -2.7912
7.2855 -0.8900 1.6134
-0.8075 -1.1733 2.9990
Li Pd In
2 4 4
Cartesian
0.0000 0.0000 0.0000
3.5258 -3.9317 -0.5889
6.1766 -3.2706 0.3835
4.4667 -6.5626 -1.3649
0.8750 -4.5928 -1.5613
2.5850 -1.3007 0.1871
4.3563 -2.2776 2.1196
5.5735 -5.9272 1.0194
1.8879 -6.7591 -0.2984
0.6707 -3.1095 0.8018
```

***

A plane-wave DFT calculation with GGA-PBE was carried out for a geometry-optimized CsReSb2Te structure.

Output
DOS at the Fermi energy in states/eV per cell: 5.15
Energy in eV per atom: -2.4681
E_form (uncorrected) in eV/f.u.: 12.35
Excess energy over the best structure of this formula in the dataset in meV/atom: 2176.9
Total magnetization in μB/f.u.: 4.45

```
CsReSb2Te
1.0
-4.8175 -3.9411 -0.0796
3.5723 -4.4180 2.5430
-1.6778 1.9353 5.7191
Cs Re Te Sb
1 1 1 2
Cartesian
0.0000 0.0000 0.0000
-1.4615 -3.2119 4.0912
-0.8389 0.9677 2.8595
1.7861 -2.2090 1.2715
-2.4087 -1.9706 -0.0398
```

***

A plane-wave DFT calculation with GGA-PBE was carried out for a geometry-optimized CsInReTe2 structure.

Output
DOS at the Fermi energy in states/eV per cell: 6.16
Energy in eV per atom: -3.8595
E_form (uncorrected) in eV/f.u.: 3.03
Total magnetization in μB/f.u.: 0.00

```
CsInReTe2
1.0
-2.3286 -2.7062 -3.9754
-1.2664 -4.3799 3.7235
-4.6697 2.3282 1.1504
Cs Re Te In
1 1 2 1
Cartesian
-0.6332 -2.1899 1.8617
0.0000 0.0000 0.0000
-2.3348 1.1641 0.5752
-1.1643 -1.3531 -1.9877
-4.1324 -2.3789 0.4493
```

***

A plane-wave DFT calculation with GGA-PBE was carried out for a geometry-optimized FeBi3Mo structure.

Output
DOS at the Fermi energy in states/eV per cell: 6.79
ΔH_f (0 K) in meV/atom: 1076
Energy in eV per atom: -5.1115
Excess energy over the best structure of this formula in the dataset in meV/atom: 0.0
Total magnetization in μB/f.u.: 3.69

```
FeBi3Mo
1.0
5.0927 0.0000 0.0000
0.0000 5.0927 0.0000
0.0000 0.0000 5.0927
Mo Bi Fe
1 3 1
Cartesian
2.5463 2.5463 2.5463
0.0000 2.5463 0.0000
0.0000 0.0000 2.5463
2.5463 0.0000 0.0000
0.0000 0.0000 0.0000
```